No. 1
6
Lattice="0.0000 3.4075 3.4075 3.4075 0.0000 3.4075 3.4075 3.4075 0.0000" Properties=species:S:1:pos:R:3 comment="MnCr4Cd, optimized geometry, DFT PBE" m_tot_mub_per_cell=1.0 formation_energy_ev_per_atom=0.37 pbc="T T T"
Mn 5.1112 5.1112 5.1112
Cr 2.5498 4.2652 4.2652
Cr 4.2652 4.2652 2.5498
Cr 4.2652 2.5498 4.2652
Cr 2.5498 2.5498 2.5498
Cd 0.0000 0.0000 0.0000

---

No. 2
4
Lattice="-1.8976 -2.5070 3.1014 2.6928 -3.2931 -1.1870 1.7437 3.8903 1.1534" Properties=species:S:1:pos:R:3 comment="MnCr2Cd, optimized geometry, DFT PBE" m_tot_mub_per_cell=3.5 formation_energy_ev_per_atom=0.41 pbc="T T T"
Cd 0.1218 -0.7584 2.6060
Cr 0.0000 0.0000 0.0000
Cr 2.4170 -1.1515 0.4618
Mn 0.3976 -2.9001 0.9572

---

No. 3
5
Lattice="-0.6753 -0.3553 -4.3321 -0.5641 -4.3399 0.4439 -4.3099 0.6237 0.6206" Properties=species:S:1:pos:R:3 comment="Mn3CrCd, optimized geometry, DFT PBE" m_tot_mub_per_cell=6.4 formation_energy_ev_per_atom=0.87 pbc="T T T"
Cr 0.0000 0.0000 0.0000
Mn -0.2821 -2.1699 0.2219
Mn -2.1550 0.3118 0.3103
Mn -0.3376 -0.1776 -2.1661
Cd -2.7746 -2.0357 -1.6338